[1]
The following is a PBE-GGA calculation of BeSb2Rh after structural relaxation, from Alexandria via LeMat-Bulk.

abc: 5.8673 5.8673 6.9553
angles: 65.05 65.05 90.00
Last column: nearest neighbours and their distance in Å.
Element x y z (fractional)
Sb 0.6072 0.1250 0.2500  2 Be 2.44, 2 Rh 2.56
Sb 0.1428 0.6250 0.2500  2 Be 2.44, 2 Rh 2.56
Sb 0.3750 0.3928 0.7500  2 Be 2.44, 2 Rh 2.56
Sb 0.8750 0.8572 0.7500  2 Be 2.44, 2 Rh 2.56
Rh 0.0000 0.0000 0.0000  4 Sb 2.56
Rh 0.7500 0.2500 0.5000  4 Sb 2.56
Be 0.5000 0.5000 0.0000  4 Sb 2.44
Be 0.2500 0.7500 0.5000  4 Sb 2.44

Values from the calculation:
DOS(E_F) (states/eV/f.u.): 2.441
Raw formation energy (eV/atom): 0.1734
Calculated volume (Å³ per cell): 192.2
Space-group type: No. 122



[2]
The following is a PBE-GGA calculation of GaCo2B after structural relaxation, from Alexandria via LeMat-Bulk.

abc: 3.8225 3.8225 3.8225
angles: 60.00 60.00 60.00
Last column: nearest neighbours and their distance in Å.
Element x y z (fractional)
B 0.0000 0.0000 0.0000  8 Co 2.34
Co 0.2500 0.2500 0.2500  4 Ga 2.34, 4 B 2.34
Co 0.7500 0.7500 0.7500  4 Ga 2.34, 4 B 2.34
Ga 0.5000 0.5000 0.5000  8 Co 2.34

Values from the calculation:
DOS(E_F) (states/eV/f.u.): 1.934
Calculated volume (Å³ per cell): 39.5
Space-group type: No. 225
Uncorrected energy (eV/cell): -23.66



[3]
The following is a PBE-GGA calculation of ThUBe26 after structural relaxation, from Alexandria via LeMat-Bulk.

abc: 7.2555 7.2555 7.2555
angles: 60.00 60.00 60.00
Last column: nearest neighbours and their distance in Å.
Element x y z (fractional)
Th 0.0000 0.0000 0.0000  24 Be 3.03
U 0.5000 0.5000 0.5000  24 Be 3.00
Be 0.9581 0.5380 0.3131  10 Be 2.15-2.35
Be 0.5380 0.9581 0.1909  10 Be 2.15-2.35
Be 0.1909 0.3131 0.5380  10 Be 2.15-2.35
Be 0.3131 0.1909 0.9581  10 Be 2.15-2.35
Be 0.4620 0.0419 0.6869  10 Be 2.15-2.35
Be 0.0419 0.4620 0.8091  10 Be 2.15-2.35
Be 0.8091 0.6869 0.0419  10 Be 2.15-2.35
Be 0.6869 0.8091 0.4620  10 Be 2.15-2.35
Be 0.3131 0.9581 0.5380  10 Be 2.15-2.35
Be 0.1909 0.5380 0.9581  10 Be 2.15-2.35
Be 0.5380 0.1909 0.3131  10 Be 2.15-2.35
Be 0.9581 0.3131 0.1909  10 Be 2.15-2.35
Be 0.6869 0.4620 0.0419  10 Be 2.15-2.35
Be 0.8091 0.0419 0.4620  10 Be 2.15-2.35
Be 0.0419 0.8091 0.6869  10 Be 2.15-2.35
Be 0.4620 0.6869 0.8091  10 Be 2.15-2.35
Be 0.5380 0.3131 0.9581  10 Be 2.15-2.35
Be 0.9581 0.1909 0.5380  10 Be 2.15-2.35
Be 0.3131 0.5380 0.1909  10 Be 2.15-2.35
Be 0.1909 0.9581 0.3131  10 Be 2.15-2.35
Be 0.0419 0.6869 0.4620  10 Be 2.15-2.35
Be 0.4620 0.8091 0.0419  10 Be 2.15-2.35
Be 0.6869 0.0419 0.8091  10 Be 2.15-2.35
Be 0.8091 0.4620 0.6869  10 Be 2.15-2.35
Be 0.2500 0.2500 0.2500  12 Be 2.15
Be 0.7500 0.7500 0.7500  12 Be 2.15

Values from the calculation:
DOS(E_F) (states/eV/f.u.): 10.160
Calculated volume (Å³ per cell): 270.1
Space-group type: No. 209
Uncorrected energy (eV/cell): -119.24



[4]
The following is a PBE-GGA calculation of Nd2DyEr2 after structural relaxation, from Alexandria via LeMat-Bulk.

abc: 9.0262 9.0262 6.0679
angles: 118.56 118.56 95.18
Last column: nearest neighbours and their distance in Å.
Element x y z (fractional)
Nd 0.7615 0.6072 0.4986  1 Nd 3.17, 2 Dy 3.28-3.50, 2 Er 3.36-3.42
Nd 0.3928 0.2385 0.0014  1 Nd 3.17, 2 Dy 3.28-3.50, 2 Er 3.36-3.42
Nd 0.6072 0.7615 0.9986  1 Nd 3.17, 2 Dy 3.28-3.50, 2 Er 3.36-3.42
Nd 0.2385 0.3928 0.5014  1 Nd 3.17, 2 Dy 3.28-3.50, 2 Er 3.36-3.42
Dy 0.0630 0.9370 0.2500  4 Nd 3.28-3.50, 4 Er 3.44-3.55, 2 Dy 3.47
Dy 0.9370 0.0630 0.7500  4 Nd 3.28-3.50, 4 Er 3.44-3.55, 2 Dy 3.47
Er 0.3290 0.6710 0.2500  2 Er 3.52, 1 Dy 3.55, 6 Nd 3.58-3.71
Er 0.8049 0.1951 0.2500  4 Nd 3.36-3.42, 3 Dy 3.44-3.51, 2 Er 3.52
Er 0.1951 0.8049 0.7500  4 Nd 3.36-3.42, 3 Dy 3.44-3.51, 2 Er 3.52
Er 0.6710 0.3290 0.7500  2 Er 3.52, 1 Dy 3.55, 6 Nd 3.58-3.71

Values from the calculation:
DOS(E_F) (states/eV/f.u.): 6.841
Calculated volume (Å³ per cell): 347.3
Space-group type: No. 15
Uncorrected energy (eV/cell): -43.67



[5]
The following is a PBE-GGA calculation of CaZrSc2 after structural relaxation, from Alexandria via LeMat-Bulk.

abc: 5.6344 5.6344 5.6344
angles: 129.07 129.07 74.90
Last column: nearest neighbours and their distance in Å.
Element x y z (fractional)
Sc 0.0000 0.0000 0.0000  4 Zr 3.30, 4 Ca 3.30, 4 Sc 3.43
Sc 0.5000 0.5000 0.0000  4 Zr 3.30, 4 Ca 3.30, 4 Sc 3.43
Ca 0.7500 0.2500 0.5000  8 Sc 3.30, 4 Zr 3.43
Zr 0.2500 0.7500 0.5000  8 Sc 3.30, 4 Ca 3.43

Values from the calculation:
DOS(E_F) (states/eV/f.u.): 7.957
Calculated volume (Å³ per cell): 105.0
Space-group type: No. 139
Uncorrected energy (eV/cell): -22.20



[6]
The following is a PBE-GGA calculation of YAlNiPd after structural relaxation, from Alexandria via LeMat-Bulk.

abc: 4.5967 4.5967 4.5967
angles: 60.00 60.00 60.00
Last column: nearest neighbours and their distance in Å.
Element x y z (fractional)
Y 0.7500 0.7500 0.7500  4 Ni 2.81, 4 Pd 2.81
Ni 0.0000 0.0000 0.0000  4 Al 2.81, 4 Y 2.81
Al 0.2500 0.2500 0.2500  4 Ni 2.81, 4 Pd 2.81
Pd 0.5000 0.5000 0.5000  4 Al 2.81, 4 Y 2.81

Values from the calculation:
DOS(E_F) (states/eV/f.u.): 3.101
Calculated volume (Å³ per cell): 68.7
Space-group type: No. 216
Uncorrected energy (eV/cell): -23.65



[7]
The following is a PBE-GGA calculation of TaTi2Co2 after structural relaxation, from Alexandria via LeMat-Bulk.

abc: 7.2075 7.2075 2.7365
angles: 90.00 90.00 90.00
Last column: nearest neighbours and their distance in Å.
Element x y z (fractional)
Ti 0.3504 0.8504 0.0000  6 Co 2.47-2.55, 2 Ti 2.74, 2 Ta 2.75
Ti 0.8504 0.6496 0.0000  6 Co 2.47-2.55, 2 Ti 2.74, 2 Ta 2.75
Ti 0.6496 0.1496 0.0000  6 Co 2.47-2.55, 2 Ti 2.74, 2 Ta 2.75
Ti 0.1496 0.3504 0.0000  6 Co 2.47-2.55, 2 Ti 2.74, 2 Ta 2.75
Co 0.1487 0.6487 0.5000  6 Ti 2.47-2.55, 2 Co 2.74
Co 0.6487 0.8513 0.5000  6 Ti 2.47-2.55, 2 Co 2.74
Co 0.8513 0.3513 0.5000  6 Ti 2.47-2.55, 2 Co 2.74
Co 0.3513 0.1487 0.5000  6 Ti 2.47-2.55, 2 Co 2.74
Ta 0.0000 0.0000 0.0000  2 Ta 2.74, 4 Ti 2.75
Ta 0.5000 0.5000 0.0000  2 Ta 2.74, 4 Ti 2.75

Values from the calculation:
DOS(E_F) (states/eV/f.u.): 5.040
Calculated volume (Å³ per cell): 142.2
Space-group type: No. 127
Uncorrected energy (eV/cell): -84.67



[8]
The following is a PBE-GGA calculation of YOs2Cl after structural relaxation, from Alexandria via LeMat-Bulk.

abc: 4.9130 4.9130 8.3417
angles: 72.87 72.87 90.00
Last column: nearest neighbours and their distance in Å.
Element x y z (fractional)
Y 0.0000 0.0000 0.0000  8 Os 3.34, 4 Cl 3.47
Y 0.7500 0.2500 0.5000  8 Os 3.34, 4 Cl 3.47
Os 0.3745 0.1250 0.2500  2 Cl 2.26, 2 Os 2.46
Os 0.3755 0.6250 0.2500  2 Cl 2.26, 2 Os 2.46
Os 0.3750 0.6255 0.7500  2 Cl 2.26, 2 Os 2.46
Os 0.8750 0.6245 0.7500  2 Cl 2.26, 2 Os 2.46
Cl 0.5000 0.5000 0.0000  4 Os 2.26
Cl 0.2500 0.7500 0.5000  4 Os 2.26

Values from the calculation:
DOS(E_F) (states/eV/f.u.): 2.207
Raw formation energy (eV/atom): 0.7553
Calculated volume (Å³ per cell): 183.1
Space-group type: No. 141



[9]
The following is a PBE-GGA calculation of Tl3Cu2RhCl9 after structural relaxation, from Alexandria via LeMat-Bulk.

abc: 6.9531 6.9531 8.5177
angles: 90.00 90.00 120.00
Last column: nearest neighbours and their distance in Å.
Element x y z (fractional)
Tl 0.3333 0.6667 0.6641  12 Cl 3.45-3.50
Tl 0.0000 0.0000 0.0000  12 Cl 3.48-3.49
Tl 0.6667 0.3333 0.3359  12 Cl 3.45-3.50
Cu 0.3333 0.6667 0.1490  6 Cl 2.37-2.61
Cu 0.6667 0.3333 0.8510  6 Cl 2.37-2.61
Rh 0.0000 0.0000 0.5000  6 Cl 2.40
Cl 0.8372 0.1628 0.6618  1 Rh 2.40, 1 Cu 2.61
Cl 0.8372 0.6743 0.6618  1 Rh 2.40, 1 Cu 2.61
Cl 0.3257 0.1628 0.6618  1 Rh 2.40, 1 Cu 2.61
Cl 0.6743 0.8372 0.3382  1 Rh 2.40, 1 Cu 2.61
Cl 0.1628 0.3257 0.3382  1 Rh 2.40, 1 Cu 2.61
Cl 0.1628 0.8372 0.3382  1 Rh 2.40, 1 Cu 2.61
Cl 0.5000 0.0000 0.0000  2 Cu 2.37
Cl 0.0000 0.5000 0.0000  2 Cu 2.37
Cl 0.5000 0.5000 0.0000  2 Cu 2.37

Values from the calculation:
DOS(E_F) (states/eV/f.u.): 13.589
Raw formation energy (eV/atom): -0.7008
Calculated volume (Å³ per cell): 356.6
Space-group type: No. 164



[10]
The following is a PBE-GGA calculation of Np2ZnIr3 after structural relaxation, from Alexandria via LeMat-Bulk.

abc: 5.1039 5.1039 5.1039
angles: 65.91 65.91 65.91
Last column: nearest neighbours and their distance in Å.
Element x y z (fractional)
Np 0.3780 0.3780 0.3780  1 Np 2.91, 9 Ir 2.98-3.13, 3 Zn 3.25
Np 0.6220 0.6220 0.6220  1 Np 2.91, 9 Ir 2.98-3.13, 3 Zn 3.25
Zn 0.0000 0.0000 0.0000  6 Ir 2.55
Ir 0.0000 0.0000 0.5000  2 Zn 2.55, 4 Ir 2.78
Ir 0.5000 0.0000 0.0000  2 Zn 2.55, 4 Ir 2.78
Ir 0.0000 0.5000 0.0000  2 Zn 2.55, 4 Ir 2.78

Values from the calculation:
DOS(E_F) (states/eV/f.u.): 11.567
Calculated volume (Å³ per cell): 106.0
Space-group type: No. 166
Uncorrected energy (eV/cell): -56.13